--- i ---
This record from the Alexandria database describes a PBEsol-optimized structure of SiPtF2. The functional is meta-GGA SCAN.

spin magnetization = 0.00 μB/cell

Unit cell a=2.6202 b=2.6202 c=29.9174 alpha=90.00 beta=90.00 gamma=120.00
With the nearest neighbours (Å) after each atom.
Element x y z (fractional)
Si  0.0000  0.0000  0.0000  2 F 1.62
Si  0.3333  0.6667  0.6667  2 F 1.62
Si  0.6667  0.3333  0.3333  2 F 1.62
Pt  0.0000  0.0000  0.5000  6 Pt 2.62
Pt  0.3333  0.6667  0.1667  6 Pt 2.62
Pt  0.6667  0.3333  0.8333  6 Pt 2.62
F  0.0000  0.0000  0.0543  1 Si 1.62
F  0.0000  0.0000  0.9457  1 Si 1.62
F  0.3333  0.6667  0.6124  1 Si 1.62
F  0.3333  0.6667  0.7209  1 Si 1.62
F  0.6667  0.3333  0.2791  1 Si 1.62
F  0.6667  0.3333  0.3876  1 Si 1.62

***

--- ii ---
This record from the Alexandria database describes a PBEsol-optimized structure of SiPtF2. The functional is meta-GGA SCAN.

spin magnetization = 0.00 μB/cell

Unit cell a=5.8374 b=5.8374 c=5.8374 alpha=90.00 beta=90.00 gamma=90.00
With the nearest neighbours (Å) after each atom.
Element x y z (fractional)
Si  0.0000  0.0000  0.0000  8 F 2.53
Si  0.0000  0.5000  0.5000  8 F 2.53
Si  0.5000  0.0000  0.5000  8 F 2.53
Si  0.5000  0.5000  0.0000  8 F 2.53
Pt  0.0000  0.0000  0.5000  8 F 2.53
Pt  0.0000  0.5000  0.0000  8 F 2.53
Pt  0.5000  0.0000  0.0000  8 F 2.53
Pt  0.5000  0.5000  0.5000  8 F 2.53
F  0.2500  0.2500  0.2500  4 Pt 2.53, 4 Si 2.53
F  0.2500  0.2500  0.7500  4 Pt 2.53, 4 Si 2.53
F  0.2500  0.7500  0.2500  4 Pt 2.53, 4 Si 2.53
F  0.2500  0.7500  0.7500  4 Pt 2.53, 4 Si 2.53
F  0.7500  0.2500  0.2500  4 Pt 2.53, 4 Si 2.53
F  0.7500  0.2500  0.7500  4 Pt 2.53, 4 Si 2.53
F  0.7500  0.7500  0.2500  4 Pt 2.53, 4 Si 2.53
F  0.7500  0.7500  0.7500  4 Pt 2.53, 4 Si 2.53

***

Energies relative to the minimum, meV/atom: i 0; ii 1166

***

--- i ---
This record from the Alexandria database describes a PBEsol-optimized structure of Sc3ReF. The functional is meta-GGA SCAN.

spin magnetization = 0.00 μB/cell

Unit cell a=4.3216 b=4.3216 c=4.3216 alpha=90.00 beta=90.00 gamma=90.00
With the nearest neighbours (Å) after each atom.
Element x y z (fractional)
Sc  0.0000  0.0000  0.5000  2 F 2.16
Sc  0.0000  0.5000  0.0000  2 F 2.16
Sc  0.5000  0.0000  0.0000  2 F 2.16
Re  0.5000  0.5000  0.5000  12 Sc 3.06
F  0.0000  0.0000  0.0000  6 Sc 2.16

***

--- ii ---
This record from the Alexandria database describes a PBEsol-optimized structure of Sc3ReF. The functional is meta-GGA SCAN.

spin magnetization = 0.00 μB/cell

Unit cell a=5.0302 b=5.0302 c=5.0302 alpha=90.00 beta=90.00 gamma=90.00
With the nearest neighbours (Å) after each atom.
Element x y z (fractional)
Sc  0.0000  0.0000  0.5000  2 Re 2.52
Sc  0.0000  0.5000  0.0000  2 Re 2.52
Sc  0.5000  0.0000  0.0000  2 Re 2.52
Re  0.0000  0.0000  0.0000  6 Sc 2.52
F  0.5000  0.5000  0.5000  12 Sc 3.56

***

Energies relative to the minimum, meV/atom: i 0; ii 855